{"formula": "Rb2VP2O8", "functional": "SCAN", "state": "PBEsol geometry", "total_energy_ev_per_atom": -12.55, "raw_formation_energy_ev_per_atom": -2.578, "lattice_angstrom": [[7.0607, 0.0000, 0.0000], [0.0000, 9.0803, 0.0000], [0.0000, 0.0000, 12.9586]], "species": ["Rb", "Rb", "Rb", "Rb", "Rb", "Rb", "Rb", "Rb", "V", "V", "V", "V", "P", "P", "P", "P", "P", "P", "P", "P", "O", "O", "O", "O", "O", "O", "O", "O", "O", "O", "O", "O", "O", "O", "O", "O", "O", "O", "O", "O", "O", "O", "O", "O", "O", "O", "O", "O", "O", "O", "O", "O"], "frac_coords": [[0.7717, 0.3907, 0.5905], [0.2717, 0.1093, 0.4095], [0.2283, 0.8907, 0.9095], [0.7283, 0.6093, 0.0905], [0.7258, 0.1702, 0.9104], [0.2258, 0.3298, 0.0896], [0.2742, 0.6702, 0.5896], [0.7742, 0.8298, 0.4104], [0.7467, 0.2415, 0.3079], [0.2467, 0.2585, 0.6921], [0.2533, 0.7415, 0.1921], [0.7533, 0.7585, 0.8079], [0.5884, 0.0118, 0.6633], [0.0884, 0.4882, 0.3367], [0.4116, 0.5118, 0.8367], [0.9116, 0.9882, 0.1633], [0.4960, 0.5284, 0.3478], [0.9960, 0.9716, 0.6522], [0.5040, 0.0284, 0.1522], [0.0040, 0.4716, 0.8478], [0.5286, 0.9223, 0.5720], [0.0286, 0.5777, 0.4280], [0.4714, 0.4223, 0.9280], [0.9714, 0.0777, 0.0720], [0.5932, 0.9267, 0.7669], [0.0932, 0.5733, 0.2331], [0.4068, 0.4267, 0.7331], [0.9068, 0.0733, 0.2669], [0.3057, 0.4284, 0.3515], [0.8057, 0.0716, 0.6485], [0.6943, 0.9284, 0.1485], [0.1943, 0.5716, 0.8515], [0.4894, 0.1607, 0.6803], [0.9894, 0.3393, 0.3197], [0.5106, 0.6607, 0.8197], [0.0106, 0.8393, 0.1803], [0.5542, 0.1706, 0.2127], [0.0542, 0.3294, 0.7873], [0.4458, 0.6706, 0.2873], [0.9458, 0.8294, 0.7127], [0.8640, 0.5620, 0.7822], [0.3640, 0.9380, 0.2178], [0.1360, 0.0620, 0.7178], [0.6360, 0.4380, 0.2822], [0.8263, 0.8030, 0.9212], [0.3263, 0.6970, 0.0788], [0.1737, 0.3030, 0.5788], [0.6737, 0.1970, 0.4212], [0.9419, 0.4379, 0.9557], [0.4419, 0.0621, 0.0443], [0.0581, 0.9379, 0.5443], [0.5581, 0.5621, 0.4557]]}

{"formula": "RbVP2O8", "functional": "SCAN", "state": "PBEsol geometry", "total_energy_ev_per_atom": -11.51, "raw_formation_energy_ev_per_atom": -2.439, "lattice_angstrom": [[-1.4060, 1.8934, -7.0816], [-7.2604, -3.5656, -3.0619], [-7.2726, 5.7498, -0.7580]], "species": ["Rb", "Rb", "Rb", "V", "V", "V", "P", "P", "P", "P", "P", "P", "O", "O", "O", "O", "O", "O", "O", "O", "O", "O", "O", "O", "O", "O", "O", "O", "O", "O", "O", "O", "O", "O", "O", "O"], "frac_coords": [[0.1565, 0.6607, 0.0251], [0.8435, 0.3393, 0.9749], [0.0000, 0.5000, 0.5000], [0.7006, 0.2137, 0.4347], [0.2994, 0.7863, 0.5653], [0.5000, 0.0000, 0.0000], [0.5465, 0.6221, 0.2695], [0.4535, 0.3779, 0.7306], [0.3983, 0.1671, 0.2777], [0.6017, 0.8329, 0.7223], [0.0641, 0.9320, 0.2813], [0.9359, 0.0680, 0.7187], [0.6372, 0.7657, 0.1145], [0.3628, 0.2343, 0.8855], [0.5070, 0.6813, 0.4199], [0.4930, 0.3187, 0.5801], [0.3675, 0.5971, 0.2566], [0.6325, 0.4029, 0.7434], [0.7244, 0.4453, 0.2929], [0.2756, 0.5547, 0.7071], [0.5416, 0.2263, 0.3192], [0.4584, 0.7737, 0.6808], [0.2208, 0.3187, 0.2383], [0.7792, 0.6813, 0.7617], [0.3378, 0.0084, 0.4307], [0.6622, 0.9916, 0.5693], [0.5375, 0.0938, 0.1333], [0.4625, 0.9062, 0.8667], [0.9608, 0.8450, 0.2415], [0.0392, 0.1550, 0.7585], [0.1241, 0.8211, 0.4469], [0.8759, 0.1789, 0.5531], [0.2600, 0.9730, 0.1433], [0.7400, 0.0270, 0.8567], [0.9303, 0.1204, 0.2903], [0.0697, 0.8796, 0.7097]]}